*w*
DFT (GGA-PBE) results for a geometry-optimized Mn2VCr structure.

As for the density of states at the Fermi level: 0.898 states/eV per atom.

It has space group P4/mmm (No. 123), with a = 4.028 Å, b = 4.028 Å, c = 2.842 Å, α = 90.00°, β = 90.00° and γ = 90.00°. Symmetry generates all atoms from Mn at (0.000, 0.500, 0.000), V at (0.000, 0.000, 0.500) and Cr at (0.500, 0.500, 0.500).

*x*
DFT (GGA-PBE) results for a geometry-optimized Mn2VCr structure.

As for the density of states at the Fermi level: 1.404 states/eV per atom.

It has space group I-42d (No. 122), with a = 6.392 Å, b = 6.392 Å, c = 5.038 Å, α = 90.00°, β = 90.00° and γ = 90.00°. Symmetry generates all atoms from Mn at (0.235, 0.250, 0.125), V at (0.000, 0.000, 0.500) and Cr at (0.000, 0.000, 0.000).

Quick ranking, most stable first: *w*, *x*.

*w*
DFT (GGA-PBE) results for a geometry-optimized MnV5Cr2 structure.

As for the density of states at the Fermi level: 1.395 states/eV per atom.

It has space group I4/mcm (No. 140), with a = 5.900 Å, b = 5.900 Å, c = 12.045 Å, α = 90.00°, β = 90.00° and γ = 90.00°. Symmetry generates all atoms from Mn at (0.000, 0.000, 0.250), V at (0.000, 0.000, 0.000), V at (0.164, 0.336, 0.158) and Cr at (0.145, 0.355, 0.500).

*x*
DFT (GGA-PBE) results for a geometry-optimized MnV5Cr2 structure.

As for the density of states at the Fermi level: 0.872 states/eV per atom.

It has space group Pbam (No. 55), with a = 4.908 Å, b = 9.735 Å, c = 4.230 Å, α = 90.00°, β = 90.00° and γ = 90.00°. Symmetry generates all atoms from Mn at (0.000, 0.000, 0.000), V at (0.000, 0.500, 0.000), V at (0.142, 0.243, 0.000), V at (0.165, 0.883, 0.500) and Cr at (0.166, 0.623, 0.500).

Quick ranking, most stable first: *x*, *w*.

*w*
DFT (GGA-PBE) results for a geometry-optimized Mn2V4Cr structure.

As for the density of states at the Fermi level: 0.994 states/eV per atom.

It has space group I4/mmm (No. 139), with a = 5.716 Å, b = 5.716 Å, c = 5.668 Å, α = 90.00°, β = 90.00° and γ = 90.00°. Symmetry generates all atoms from Mn at (0.000, 0.500, 0.000), V at (0.250, 0.250, 0.250) and Cr at (0.000, 0.000, 0.000).

*x*
DFT (GGA-PBE) results for a geometry-optimized Mn2V4Cr structure.

As for the density of states at the Fermi level: 1.004 states/eV per atom.

It has space group I4/mmm (No. 139), with a = 4.262 Å, b = 4.262 Å, c = 12.170 Å, α = 90.00°, β = 90.00° and γ = 90.00°. Symmetry generates all atoms from Mn at (0.000, 0.000, 0.121), V at (0.000, 0.000, 0.309), V at (0.000, 0.500, 0.000) and Cr at (0.000, 0.000, 0.500).

Quick ranking, most stable first: *w*, *x*.

*w*
DFT (GGA-PBE) results for a geometry-optimized Mn3VCr structure.

As for the density of states at the Fermi level: 1.013 states/eV per atom.

It has space group Cmcm (No. 63), with a = 4.024 Å, b = 14.215 Å, c = 4.030 Å, α = 90.00°, β = 90.00° and γ = 90.00°. Symmetry generates all atoms from Mn at (0.000, 0.054, 0.250), Mn at (0.000, 0.250, 0.250), Mn at (0.000, 0.446, 0.250), V at (0.000, 0.150, 0.750) and Cr at (0.000, 0.353, 0.750).

*x*
DFT (GGA-PBE) results for a geometry-optimized Mn3VCr structure.

As for the density of states at the Fermi level: 1.584 states/eV per atom.

It has space group Pm-3m (No. 221), with a = 4.253 Å, b = 4.253 Å, c = 4.253 Å, α = 90.00°, β = 90.00° and γ = 90.00°. Symmetry generates all atoms from Mn at (0.000, 0.000, 0.500), V at (0.500, 0.500, 0.500) and Cr at (0.000, 0.000, 0.000).

Quick ranking, most stable first: *w*, *x*.

*w*
DFT (GGA-PBE) results for a geometry-optimized MnV6Cr structure.

As for the density of states at the Fermi level: 1.416 states/eV per atom.

It has space group Amm2 (No. 38), with a = 4.171 Å, b = 5.911 Å, c = 8.279 Å, α = 90.00°, β = 90.00° and γ = 90.00°. Symmetry generates all atoms from Mn at (0.000, 0.000, 0.000), V at (0.000, 0.000, 0.497), V at (0.000, 0.245, 0.750), V at (0.500, 0.000, 0.253), V at (0.500, 0.244, 0.999) and Cr at (0.500, 0.000, 0.748).

*x*
DFT (GGA-PBE) results for a geometry-optimized MnV6Cr structure.

As for the density of states at the Fermi level: 1.174 states/eV per atom.

It has space group C2/m (No. 12), with a = 5.906 Å, b = 8.823 Å, c = 4.783 Å, α = 90.00°, β = 118.93° and γ = 90.00°. Symmetry generates all atoms from Mn at (0.000, 0.000, 0.000), V at (0.246, 0.224, 0.249), V at (0.248, 0.000, 0.752) and Cr at (0.000, 0.500, 0.500).

Quick ranking, most stable first: *w*, *x*.

*w*
DFT (GGA-PBE) results for a geometry-optimized MnCrW structure.

As for the density of states at the Fermi level: 1.363 states/eV per atom.

It has space group P3m1 (No. 156), with a = 4.1766 Å, b = 4.1766 Å, c = 2.6096 Å, α = 90.00°, β = 90.00° and γ = 120.00°. Symmetry generates all atoms from Mn at (0.0000, 0.0000, 0.0000), Cr at (0.6667, 0.3333, 0.6688) and W at (0.3333, 0.6667, 0.3446).

*x*
DFT (GGA-PBE) results for a geometry-optimized MnCrW structure.

As for the density of states at the Fermi level: 1.188 states/eV per atom.

It has space group F-43m (No. 216), with a = 5.649 Å, b = 5.649 Å, c = 5.649 Å, α = 90.00°, β = 90.00° and γ = 90.00°. Symmetry generates all atoms from Mn at (0.000, 0.000, 0.000), Cr at (0.250, 0.250, 0.250) and W at (0.250, 0.250, 0.750).

Quick ranking, most stable first: *w*, *x*.